Be2NiH20N2O6F8 | PBE+U | optimized geometry

Computed properties:
E: -5.026 eV/atom

Geometry as CIF:
```
data_Be2NiH20N2O6F8
_chemical_formula_sum 'Be4 Ni2 H40 N4 O12 F16'
_cell_length_a 6.159
_cell_length_b 12.712
_cell_length_c 9.288
_cell_angle_alpha 90.00
_cell_angle_beta 107.20
_cell_angle_gamma 90.00
_symmetry_space_group_name_H-M 'P 1 21/c 1'
_symmetry_Int_Tables_number 14
_symmetry_space_group_name_Hall '-P 2ybc'
loop_
_atom_site_label
_atom_site_type_symbol
_atom_site_fract_x
_atom_site_fract_y
_atom_site_fract_z
_atom_site_occupancy
Be1 Be 0.247 0.148 0.101 1
Ni1 Ni 0.000 0.000 0.500 1
H1 H 0.027 0.681 0.862 1
H2 H 0.061 0.099 0.769 1
H3 H 0.110 0.630 0.244 1
H4 H 0.236 0.659 0.545 1
H5 H 0.331 0.141 0.538 1
H6 H 0.337 0.593 0.208 1
H7 H 0.339 0.061 0.407 1
H8 H 0.352 0.564 0.673 1
H9 H 0.424 0.691 0.716 1
H10 H 0.483 0.126 0.913 1
N1 N 0.380 0.636 0.630 1
O1 O 0.039 0.607 0.836 1
O2 O 0.174 0.609 0.163 1
O3 O 0.302 0.067 0.503 1
F1 F 0.008 0.181 0.116 1
F2 F 0.225 0.093 0.947 1
F3 F 0.370 0.069 0.231 1
F4 F 0.406 0.245 0.117 1
```